No. 1
# Dy2BiPd6

An optimized crystal structure of Dy2BiPd6 (PBE, Alexandria). Values from VASP.

Computed properties:
Formation energy in eV/atom: -0.483
Energy in eV/atom: -5.40

Geometry as Quantum ESPRESSO input:
```
&SYSTEM
  ibrav = 0, nat = 9, ntyp = 3
/
ATOMIC_SPECIES
Pd 106.42 Pd.upf
Dy 162.50 Dy.upf
Bi 208.98 Bi.upf
ATOMIC_POSITIONS crystal
Pd 0.500 0.213 0.000
Pd 0.500 0.787 0.000
Pd 0.841 0.138 0.680
Pd 0.159 0.458 0.320
Pd 0.159 0.862 0.320
Pd 0.841 0.542 0.680
Dy 0.675 0.676 0.352
Bi 0.000 0.000 0.000
Dy 0.325 0.324 0.648
CELL_PARAMETERS angstrom
4.624 0.000 -0.180
0.000 8.200 0.000
-2.126 -4.100 4.894
```



No. 2
# Dy3BiPd

An optimized crystal structure of Dy3BiPd (PBE, Alexandria). Values from VASP.

Computed properties:
Formation energy in eV/atom: -0.655
Energy in eV/atom: -5.23

Geometry as Quantum ESPRESSO input:
```
&SYSTEM
  ibrav = 0, nat = 10, ntyp = 3
/
ATOMIC_SPECIES
Dy 162.50 Dy.upf
Pd 106.42 Pd.upf
Bi 208.98 Bi.upf
ATOMIC_POSITIONS crystal
Dy 0.395 0.789 0.950
Dy 0.252 0.504 0.289
Dy 0.045 0.090 0.708
Pd 0.799 0.599 0.078
Dy 0.955 0.910 0.292
Bi 0.611 0.221 0.429
Dy 0.748 0.496 0.711
Dy 0.605 0.211 0.050
Bi 0.389 0.779 0.571
Pd 0.201 0.401 0.922
CELL_PARAMETERS angstrom
4.176 0.000 0.000
-2.088 7.831 0.152
0.000 -0.466 8.590
```



No. 3
# Dy4BiPd2

An optimized crystal structure of Dy4BiPd2 (PBE, Alexandria). Values from VASP.

Computed properties:
Formation energy in eV/atom: -0.620
Energy in eV/atom: -5.29

Geometry as Quantum ESPRESSO input:
```
&SYSTEM
  ibrav = 0, nat = 7, ntyp = 3
/
ATOMIC_SPECIES
Pd 106.42 Pd.upf
Bi 208.98 Bi.upf
Dy 162.50 Dy.upf
ATOMIC_POSITIONS crystal
Pd 0.398 0.398 0.807
Bi 0.500 0.500 0.500
Dy 0.110 0.110 0.669
Dy 0.890 0.890 0.331
Pd 0.602 0.602 0.193
Dy 0.699 0.699 0.903
Dy 0.301 0.301 0.097
CELL_PARAMETERS angstrom
-3.505 -0.613 -2.872
0.740 -0.156 -4.510
0.463 -10.975 -1.862
```



No. 4
# Dy4BiPd

An optimized crystal structure of Dy4BiPd (PBE, Alexandria). Values from VASP.

Computed properties:
Formation energy in eV/atom: -0.429
Energy in eV/atom: -5.01

Geometry as Quantum ESPRESSO input:
```
&SYSTEM
  ibrav = 0, nat = 12, ntyp = 3
/
ATOMIC_SPECIES
Pd 106.42 Pd.upf
Dy 162.50 Dy.upf
Bi 208.98 Bi.upf
ATOMIC_POSITIONS crystal
Pd 0.584 0.822 0.167
Dy 0.297 0.071 0.595
Dy 0.449 0.822 0.899
Dy 0.889 0.322 0.778
Pd 0.416 0.322 0.833
Dy 0.111 0.822 0.222
Dy 0.297 0.574 0.595
Bi 0.148 0.322 0.296
Dy 0.703 0.571 0.405
Dy 0.551 0.322 0.101
Dy 0.703 0.074 0.405
Bi 0.852 0.822 0.704
CELL_PARAMETERS angstrom
5.528 0.000 0.000
0.000 6.387 0.000
-2.764 0.000 10.091
```



No. 5
# Dy2BiPd8

An optimized crystal structure of Dy2BiPd8 (PBE, Alexandria). Values from VASP.

Computed properties:
Formation energy in eV/atom: -0.575
Energy in eV/atom: -5.54

Geometry as Quantum ESPRESSO input:
```
&SYSTEM
  ibrav = 0, nat = 11, ntyp = 3
/
ATOMIC_SPECIES
Pd 106.42 Pd.upf
Dy 162.50 Dy.upf
Bi 208.98 Bi.upf
ATOMIC_POSITIONS crystal
Pd 0.646 0.884 0.291
Dy 0.187 0.687 0.373
Bi 0.500 0.000 0.000
Pd 0.182 0.182 0.364
Pd 0.818 0.818 0.636
Pd 0.354 0.116 0.709
Pd 0.000 0.256 0.000
Pd 0.355 0.592 0.709
Pd 0.645 0.408 0.291
Pd 0.000 0.744 0.000
Dy 0.813 0.313 0.627
CELL_PARAMETERS angstrom
-0.403 1.677 -4.473
1.608 -5.311 -2.136
-7.591 -0.244 3.161
```



No. 6
# DyBi2Pd8

An optimized crystal structure of DyBi2Pd8 (PBE, Alexandria). Values from VASP.

Computed properties:
Formation energy in eV/atom: -0.335
Energy in eV/atom: -5.24

Geometry as Quantum ESPRESSO input:
```
&SYSTEM
  ibrav = 0, nat = 11, ntyp = 3
/
ATOMIC_SPECIES
Pd 106.42 Pd.upf
Dy 162.50 Dy.upf
Bi 208.98 Bi.upf
ATOMIC_POSITIONS crystal
Pd 0.500 0.782 0.218
Pd 0.686 0.426 0.426
Pd 0.128 0.322 0.097
Dy 0.500 0.000 0.000
Pd 0.500 0.218 0.782
Pd 0.872 0.903 0.678
Pd 0.872 0.678 0.903
Bi 0.000 0.309 0.691
Pd 0.128 0.097 0.322
Bi 0.000 0.691 0.309
Pd 0.314 0.574 0.574
CELL_PARAMETERS angstrom
5.035 -0.551 -0.827
-1.668 7.353 -0.672
-1.668 -3.452 6.527
```



No. 7
# DyBiPd2

An optimized crystal structure of DyBiPd2 (PBE, Alexandria). Values from VASP.

Computed properties:
Formation energy in eV/atom: -0.655
Energy in eV/atom: -5.37

Geometry as Quantum ESPRESSO input:
```
&SYSTEM
  ibrav = 0, nat = 4, ntyp = 3
/
ATOMIC_SPECIES
Pd 106.42 Pd.upf
Dy 162.50 Dy.upf
Bi 208.98 Bi.upf
ATOMIC_POSITIONS crystal
Pd 0.000 0.500 0.000
Dy 0.500 0.500 0.500
Bi 0.500 0.000 0.000
Pd 0.000 0.000 0.500
CELL_PARAMETERS angstrom
-1.307 -0.376 -3.694
3.682 -2.618 -1.036
-2.357 -3.799 1.221
```



No. 8
# PmDy2Bi

An optimized crystal structure of PmDy2Bi (PBE, Alexandria). Values from VASP.

Computed properties:
Formation energy in eV/atom: -0.344
Energy in eV/atom: -4.80

Geometry as Quantum ESPRESSO input:
```
&SYSTEM
  ibrav = 0, nat = 4, ntyp = 3
/
ATOMIC_SPECIES
Bi 208.98 Bi.upf
Pm 145.00 Pm.upf
Dy 162.50 Dy.upf
ATOMIC_POSITIONS crystal
Bi 0.500 0.500 0.500
Pm 0.500 0.500 0.000
Dy 0.000 0.000 0.725
Dy 0.000 0.000 0.275
CELL_PARAMETERS angstrom
-0.183 -4.025 -0.455
3.212 0.133 -2.470
4.534 -0.867 5.849
```



No. 9
# Pm2DyBi

An optimized crystal structure of Pm2DyBi (PBE, Alexandria). Values from VASP.

Computed properties:
Formation energy in eV/atom: -0.384
Energy in eV/atom: -4.88

Geometry as Quantum ESPRESSO input:
```
&SYSTEM
  ibrav = 0, nat = 4, ntyp = 3
/
ATOMIC_SPECIES
Pm 145.00 Pm.upf
Dy 162.50 Dy.upf
Bi 208.98 Bi.upf
ATOMIC_POSITIONS crystal
Pm 0.000 0.000 0.737
Dy 0.500 0.500 0.000
Bi 0.500 0.500 0.500
Pm 0.000 0.000 0.263
CELL_PARAMETERS angstrom
-1.481 -3.999 -0.532
3.856 -1.237 -1.437
1.886 -1.550 6.397
```



No. 10
# Pm2DyBi

An optimized crystal structure of Pm2DyBi (PBE, Alexandria). Values from VASP.

Computed properties:
Formation energy in eV/atom: -0.394
Energy in eV/atom: -4.89

Geometry as Quantum ESPRESSO input:
```
&SYSTEM
  ibrav = 0, nat = 4, ntyp = 3
/
ATOMIC_SPECIES
Pm 145.00 Pm.upf
Dy 162.50 Dy.upf
Bi 208.98 Bi.upf
ATOMIC_POSITIONS crystal
Pm 0.000 0.000 0.500
Dy 0.500 0.500 0.500
Pm 0.000 0.500 0.000
Bi 0.500 0.000 0.000
CELL_PARAMETERS angstrom
4.968 0.000 0.000
0.000 4.919 0.000
0.000 0.000 4.919
```